Computed, not measured: crystalline TlIn7Bi5 at its relaxed geometry at the PBE level of DFT.

a = 8.813 Å, b = 8.813 Å, c = 5.802 Å
α = 107.90°, β = 107.90°, γ = 74.62°
Fractional positions:
Tl1 0.000 0.000 0.000
In1 0.175 0.786 0.471
In2 0.299 0.586 0.989
In3 0.311 0.311 0.312
In4 0.559 0.559 0.617
In5 0.586 0.299 0.989
In6 0.786 0.175 0.471
In7 0.796 0.796 0.168
Bi1 0.182 0.182 0.658
Bi2 0.410 0.920 0.046
Bi3 0.593 0.943 0.638
Bi4 0.920 0.410 0.046
Bi5 0.943 0.593 0.638

* final energy: -3.094 eV/atom